VASP calculation (PBE) on a relaxed PmHfNi crystal.

Unit cell a=3.333 b=3.333 c=11.889 alpha=90.00 beta=90.00 gamma=90.00
Atoms (fractional coordinates):
Pm 0.000 0.000 0.000
Pm 0.500 0.500 0.500
Hf 0.000 0.000 0.281
Hf 0.500 0.500 0.781
Ni 0.000 0.000 0.690
Ni 0.500 0.500 0.190

Results
Calculated density (g/cm3): 9.612
Excess energy over the best structure of this formula in the dataset (meV per atom): 0
DOS at the Fermi energy (states/eV per atom): 0.985
Crystal system: tetragonal

VASP calculation (PBE) on a relaxed PaTcNi crystal.

Unit cell a=4.400 b=4.400 c=3.024 alpha=90.00 beta=90.00 gamma=120.00
Atoms (fractional coordinates):
Pa 0.000 0.000 0.000
Tc 0.333 0.667 0.766
Ni 0.667 0.333 0.346

Results
Calculated density (g/cm3): 12.701
Excess energy over the best structure of this formula in the dataset (meV per atom): 334
DOS at the Fermi energy (states/eV per atom): 0.819
Crystal system: trigonal

VASP calculation (PBE) on a relaxed PrYCuSn crystal.

Unit cell a=7.443 b=7.443 c=7.443 alpha=90.00 beta=90.00 gamma=90.00
Atoms (fractional coordinates):
Pr 0.000 0.000 0.000
Pr 0.000 0.500 0.500
Pr 0.500 0.000 0.500
Pr 0.500 0.500 0.000
Y 0.000 0.000 0.500
Y 0.000 0.500 0.000
Y 0.500 0.000 0.000
Y 0.500 0.500 0.500
Cu 0.250 0.250 0.250
Cu 0.250 0.750 0.750
Cu 0.750 0.250 0.750
Cu 0.750 0.750 0.250
Sn 0.250 0.250 0.750
Sn 0.250 0.750 0.250
Sn 0.750 0.250 0.250
Sn 0.750 0.750 0.750

Results
Calculated density (g/cm3): 6.639
DOS at the Fermi energy (states/eV per atom): 0.995
Crystal system: cubic
DFT total energy (eV per atom): -5.263

VASP calculation (PBE) on a relaxed SmErScAg crystal.

Unit cell a=7.477 b=7.477 c=7.477 alpha=90.00 beta=90.00 gamma=90.00
Atoms (fractional coordinates):
Sm 0.000 0.000 0.000
Sm 0.000 0.500 0.500
Sm 0.500 0.000 0.500
Sm 0.500 0.500 0.000
Er 0.000 0.000 0.500
Er 0.000 0.500 0.000
Er 0.500 0.000 0.000
Er 0.500 0.500 0.500
Sc 0.250 0.250 0.250
Sc 0.250 0.750 0.750
Sc 0.750 0.250 0.750
Sc 0.750 0.750 0.250
Ag 0.250 0.250 0.750
Ag 0.250 0.750 0.250
Ag 0.750 0.250 0.250
Ag 0.750 0.750 0.750

Results
Calculated density (g/cm3): 7.474
DOS at the Fermi energy (states/eV per atom): 0.997
Crystal system: cubic
DFT total energy (eV per atom): -4.582

VASP calculation (PBE) on a relaxed IrPdAu crystal.

Unit cell a=2.798 b=3.966 c=8.606 alpha=90.00 beta=90.00 gamma=90.00
Atoms (fractional coordinates):
Ir 0.000 0.000 0.000
Ir 0.500 0.500 0.500
Pd 0.000 0.000 0.657
Pd 0.500 0.500 0.157
Au 0.000 0.000 0.330
Au 0.500 0.500 0.830

Results
Calculated density (g/cm3): 17.233
Excess energy over the best structure of this formula in the dataset (meV per atom): 132
DOS at the Fermi energy (states/eV per atom): 1.918
Crystal system: orthorhombic

VASP calculation (PBE) on a relaxed RbMgF2 crystal.

Unit cell a=6.665 b=6.665 c=6.665 alpha=90.00 beta=90.00 gamma=90.00
Atoms (fractional coordinates):
Rb 0.000 0.000 0.000
Rb 0.000 0.500 0.500
Rb 0.500 0.000 0.500
Rb 0.500 0.500 0.000
Mg 0.000 0.000 0.500
Mg 0.000 0.500 0.000
Mg 0.500 0.000 0.000
Mg 0.500 0.500 0.500
F 0.250 0.250 0.250
F 0.250 0.250 0.750
F 0.250 0.750 0.250
F 0.250 0.750 0.750
F 0.750 0.250 0.250
F 0.750 0.250 0.750
F 0.750 0.750 0.250
F 0.750 0.750 0.750

Results
Calculated density (g/cm3): 3.315
Excess energy over the best structure of this formula in the dataset (meV per atom): 592
DOS at the Fermi energy (states/eV per atom): 0.596
Crystal system: cubic
E_form (uncorrected) (eV/atom): -1.81

Q: Which formula does entry 2 have?
A: PaTcNi

Q: What is the calculated density in the first record?
A: 9.612 g/cm3

Q: DOS at the Fermi energy of number 2 (PaTcNi)?
A: 0.819 states/eV per atom